1.
The following is a PBE calculation of a geometry-optimized K2UNbN4 structure, from Alexandria via LeMat-Bulk.

Cell and atoms, written as POSCAR:
```
K2UNbN4
1.0
-2.569 -1.790 1.286
2.347 -5.503 -2.971
3.603 -2.476 3.754
N K Nb U
4 2 1 1
Direct
0.500 0.667 0.268
0.000 0.334 0.221
0.500 0.333 0.732
0.000 0.666 0.779
0.000 0.000 0.000
0.500 0.000 0.500
0.500 0.500 0.000
0.000 0.500 0.500
```

Results
space-group type: P2/m
size of the total moment: 0.7 μB/cell
calculated total energy: -63.4 eV per cell
uncorrected formation energy: -0.820 eV/atom

2.
The following is a PBE calculation of a geometry-optimized Ti5Ga6 structure, from Alexandria via LeMat-Bulk.

Cell and atoms, written as POSCAR:
```
Ti5Ga6
1.0
4.163 0.005 -1.288
-0.753 6.014 -2.412
0.010 -0.570 7.399
Ti Ga
5 6
Direct
0.648 0.648 0.295
0.704 0.204 0.408
0.296 0.796 0.592
0.000 0.500 0.000
0.352 0.352 0.705
0.853 0.064 0.705
0.853 0.642 0.705
0.500 0.196 0.000
0.147 0.936 0.295
0.147 0.358 0.295
0.500 0.804 0.000
```

Results
space-group type: Immm
formation energy from the elements: -0.378 eV per atom
size of the total moment: 0.0 μB/cell
calculated total energy: -61.8 eV per cell
energy above the lowest structure with this stoichiometry: 0 meV per atom

3.
The following is a PBE calculation of a geometry-optimized CaRe2Tc structure, from Alexandria via LeMat-Bulk.

Cell and atoms, written as POSCAR:
```
CaRe2Tc
1.0
4.625 0.000 0.000
0.000 4.625 0.000
0.000 0.000 3.091
Re Tc Ca
2 1 1
Direct
0.000 0.000 0.000
0.500 0.500 0.000
0.500 0.000 0.500
0.000 0.500 0.500
```

Results
space-group type: P4/mmm
formation energy from the elements: 0.842 eV per atom
size of the total moment: 0.0 μB/cell
calculated total energy: -33.9 eV per cell
energy above the lowest structure with this stoichiometry: 379 meV per atom